No. 1
This record from Alexandria via LeMat-Bulk describes an optimized crystal structure of Ac5NiOs. The functional is PBE.

abc: 7.239 7.239 11.367
angles: 106.93 106.93 80.11
Atoms (fractional coordinates):
Ac1 0.232 0.636 0.007
Ac2 0.864 0.268 0.493
Ac3 0.768 0.364 0.993
Ac4 0.770 0.926 0.145
Ac5 0.230 0.074 0.855
Ac6 0.249 0.251 0.250
Ac7 0.426 0.270 0.645
Ac8 0.136 0.732 0.507
Ac9 0.751 0.749 0.750
Ac10 0.574 0.730 0.355
Os1 0.500 0.500 0.500
Os2 0.000 0.000 0.000
Ni1 0.076 0.424 0.750
Ni2 0.924 0.576 0.250

- DFT formation energy: 0.0224 eV per atom
- Raw total energy: -5.342 eV/atom

***

No. 2
This record from Alexandria via LeMat-Bulk describes an optimized crystal structure of Ac16Ni5Os3. The functional is PBE.

abc: 8.584 8.584 13.839
angles: 90.05 90.05 60.50
Atoms (fractional coordinates):
Ac1 0.999 0.999 0.170
Ac2 0.164 0.164 0.903
Ac3 0.670 0.670 0.901
Ac4 0.979 0.514 0.660
Ac5 0.834 0.327 0.403
Ac6 0.835 0.835 0.401
Ac7 0.671 0.162 0.904
Ac8 0.336 0.336 0.400
Ac9 0.488 0.022 0.161
Ac10 0.162 0.671 0.904
Ac11 0.001 0.001 0.671
Ac12 0.327 0.834 0.403
Ac13 0.514 0.979 0.660
Ac14 0.514 0.514 0.664
Ac15 0.489 0.489 0.160
Ac16 0.022 0.488 0.161
Ni1 0.663 0.663 0.527
Ni2 0.167 0.167 0.286
Ni3 0.336 0.834 0.786
Ni4 0.834 0.336 0.786
Ni5 0.328 0.328 0.021
Os1 0.666 0.167 0.283
Os2 0.167 0.666 0.283
Os3 0.834 0.834 0.784

- DFT formation energy: -0.1201 eV per atom
- Raw total energy: -5.467 eV/atom

***

No. 3
This record from Alexandria via LeMat-Bulk describes an optimized crystal structure of Ac2NiOs. The functional is PBE.

abc: 3.651 5.243 5.243
angles: 90.00 90.00 90.00
Atoms (fractional coordinates):
Ni1 0.500 0.500 0.500
Ac1 0.000 0.500 0.000
Ac2 0.000 0.000 0.500
Os1 0.500 0.000 0.000

- DFT formation energy: 0.1215 eV per atom
- Raw total energy: -6.185 eV/atom

***

No. 4
This record from Alexandria via LeMat-Bulk describes an optimized crystal structure of Ac2NiOs. The functional is PBE.

abc: 4.293 4.293 8.088
angles: 74.46 74.61 60.00
Atoms (fractional coordinates):
Os1 0.470 0.233 0.828
Ac1 0.720 0.480 0.081
Ac2 0.886 0.651 0.577
Ni1 0.135 0.898 0.831

- DFT formation energy: -0.1292 eV per atom
- Raw total energy: -6.436 eV/atom

***

No. 5
This record from Alexandria via LeMat-Bulk describes an optimized crystal structure of Ac8Ni2Os. The functional is PBE.

abc: 4.161 9.668 10.252
angles: 93.08 101.71 90.00
Atoms (fractional coordinates):
Ac1 0.352 0.041 0.704
Ac2 0.401 0.452 0.801
Ac3 0.648 0.959 0.296
Ac4 0.985 0.793 0.969
Ac5 0.015 0.207 0.031
Ac6 0.599 0.548 0.199
Ac7 0.774 0.672 0.548
Ac8 0.226 0.328 0.452
Ni1 0.166 0.725 0.332
Ni2 0.834 0.275 0.668
Os1 0.500 0.000 0.000

- DFT formation energy: -0.0985 eV per atom
- Raw total energy: -5.158 eV/atom

***

No. 6
This record from Alexandria via LeMat-Bulk describes an optimized crystal structure of Ac5Ni2Os. The functional is PBE.

abc: 5.855 7.435 14.595
angles: 90.00 90.00 113.19
Atoms (fractional coordinates):
Ni1 0.849 0.698 0.058
Ni2 0.849 0.698 0.442
Ni3 0.151 0.302 0.942
Ni4 0.151 0.302 0.558
Os1 0.793 0.585 0.750
Os2 0.207 0.415 0.250
Ac1 0.670 0.339 0.930
Ac2 0.330 0.661 0.430
Ac3 0.257 0.514 0.750
Ac4 0.052 0.105 0.119
Ac5 0.670 0.339 0.570
Ac6 0.948 0.895 0.881
Ac7 0.948 0.895 0.619
Ac8 0.743 0.486 0.250
Ac9 0.052 0.105 0.381
Ac10 0.330 0.661 0.070

- DFT formation energy: -0.0616 eV per atom
- Raw total energy: -5.478 eV/atom

***

No. 7
This record from Alexandria via LeMat-Bulk describes an optimized crystal structure of Ac12Ni5Os. The functional is PBE.

abc: 7.446 7.446 13.947
angles: 84.96 79.87 60.00
Atoms (fractional coordinates):
Ac1 0.038 0.332 0.884
Ac2 0.204 0.333 0.383
Ac3 0.796 0.667 0.617
Ac4 0.962 0.668 0.116
Ac5 0.462 0.333 0.617
Ac6 0.129 0.000 0.617
Ac7 0.294 0.000 0.116
Ac8 0.871 0.000 0.383
Ac9 0.538 0.667 0.383
Ac10 0.706 0.000 0.884
Ac11 0.630 0.332 0.116
Ac12 0.370 0.668 0.884
Ni1 0.667 0.667 0.000
Ni2 0.500 0.000 0.500
Ni3 0.833 0.333 0.500
Ni4 0.167 0.667 0.500
Ni5 0.333 0.333 0.000
Os1 0.000 0.000 0.000

- DFT formation energy: -0.1448 eV per atom
- Raw total energy: -5.114 eV/atom

***

No. 8
This record from Alexandria via LeMat-Bulk describes an optimized crystal structure of Ac9Ni3Os. The functional is PBE.

abc: 7.187 11.006 11.888
angles: 90.00 96.82 90.00
Atoms (fractional coordinates):
Ac1 0.228 0.567 0.456
Ac2 0.772 0.433 0.544
Ac3 0.228 0.933 0.456
Ac4 0.649 0.425 0.881
Ac5 0.858 0.750 0.036
Ac6 0.351 0.925 0.119
Ac7 0.772 0.067 0.544
Ac8 0.728 0.750 0.371
Ac9 0.382 0.250 0.308
Ac10 0.351 0.575 0.119
Ac11 0.137 0.582 0.783
Ac12 0.618 0.750 0.692
Ac13 0.863 0.082 0.217
Ac14 0.142 0.250 0.964
Ac15 0.137 0.918 0.783
Ac16 0.649 0.075 0.881
Ac17 0.272 0.250 0.629
Ac18 0.863 0.418 0.217
Os1 0.024 0.250 0.415
Os2 0.976 0.750 0.585
Ni1 0.000 0.000 0.000
Ni2 0.549 0.505 0.333
Ni3 0.000 0.500 0.000
Ni4 0.451 0.005 0.667
Ni5 0.549 0.995 0.333
Ni6 0.451 0.495 0.667

- DFT formation energy: -0.0665 eV per atom
- Raw total energy: -5.109 eV/atom

***

- Look up the DFT formation energy of the third one.
  0.1215 eV per atom

***

- DFT formation energy of number 7 (Ac12Ni5Os)?
  -0.1448 eV per atom

***

- Number 3 is which compound?
  Ac2NiOs

***

- Number 3 is which compound?
  Ac2NiOs